## CdCoPb2 (GGA-PBE)

Data for a relaxed CdCoPb2 crystal.

## Properties
Total magnetic moment ... 0.73 μB/f.u.
E_tot ... -3.6046 eV per atom
Formation enthalpy at 0 K ... 0.25 eV/atom
Symmetry ... Immm
Volume ... 96.9 Å³/cell

Geometry as POSCAR:
```
CdCoPb2
1.0
-5.648 4.425 -1.135
-5.594 0.117 -4.633
4.190 -2.905 5.174
Cd Co Pb
1 1 2
Cartesian
-3.540 1.895 0.578
-3.513 -0.258 -1.171
-0.917 0.370 -0.470
-4.704 1.901 -2.414
```